Material: Tb9YIn2
Method: DFT, PBE
State: relaxed

Unit cell a=4.8882 b=4.8882 c=14.9931 alpha=90.00 beta=90.00 gamma=90.00
Positions (direct):
Tb (0.0000, 0.0000, 0.0000)
Tb (0.0000, 0.0000, 0.3373)
Tb (0.0000, 0.0000, 0.6627)
Tb (0.0000, 0.5000, 0.1731)
Tb (0.0000, 0.5000, 0.5000)
Tb (0.0000, 0.5000, 0.8269)
Tb (0.5000, 0.0000, 0.1731)
Tb (0.5000, 0.0000, 0.5000)
Tb (0.5000, 0.0000, 0.8269)
Y (0.5000, 0.5000, 0.0000)
In (0.5000, 0.5000, 0.3396)
In (0.5000, 0.5000, 0.6604)

SG: P4/mmm (123)

=====

Material: TbY14In
Method: DFT, PBE
State: relaxed

Unit cell a=11.3088 b=7.1902 c=7.1902 alpha=60.12 beta=90.00 gamma=90.00
Positions (direct):
Tb (0.0000, 0.0000, 0.0000)
Y (0.0000, 0.0023, 0.5192)
Y (0.0000, 0.5192, 0.0023)
Y (0.2408, 0.3416, 0.8374)
Y (0.2408, 0.8374, 0.3416)
Y (0.2423, 0.3425, 0.3425)
Y (0.2580, 0.8404, 0.8404)
Y (0.5000, 0.0104, 0.0104)
Y (0.5000, 0.0101, 0.5020)
Y (0.5000, 0.5020, 0.0101)
Y (0.5000, 0.5080, 0.5080)
Y (0.7420, 0.8404, 0.8404)
Y (0.7577, 0.3425, 0.3425)
Y (0.7592, 0.3416, 0.8374)
Y (0.7592, 0.8374, 0.3416)
In (0.0000, 0.5076, 0.5076)

SG: Amm2 (38)

=====

Material: Tb2YIn
Method: DFT, PBE
State: relaxed

Unit cell a=4.8484 b=4.8484 c=4.8908 alpha=90.00 beta=90.00 gamma=90.00
Positions (direct):
Tb (0.0000, 0.5000, 0.0000)
Tb (0.5000, 0.0000, 0.0000)
Y (0.0000, 0.0000, 0.5000)
In (0.5000, 0.5000, 0.5000)

SG: P4/mmm (123)

=====

Material: Tb5YIn2
Method: DFT, PBE
State: relaxed

Unit cell a=3.5678 b=10.6282 c=12.6402 alpha=90.00 beta=90.00 gamma=90.00
Positions (direct):
Tb (0.0000, 0.0000, 0.0000)
Tb (0.0000, 0.2750, 0.3650)
Tb (0.0000, 0.2750, 0.6350)
Tb (0.0000, 0.7250, 0.3650)
Tb (0.0000, 0.7250, 0.6350)
Tb (0.5000, 0.2250, 0.1350)
Tb (0.5000, 0.2250, 0.8650)
Tb (0.5000, 0.5000, 0.5000)
Tb (0.5000, 0.7750, 0.1350)
Tb (0.5000, 0.7750, 0.8650)
Y (0.0000, 0.5000, 0.0000)
Y (0.5000, 0.0000, 0.5000)
In (0.0000, 0.0000, 0.2649)
In (0.0000, 0.0000, 0.7351)
In (0.5000, 0.5000, 0.2351)
In (0.5000, 0.5000, 0.7649)

SG: Immm (71)

=====

Material: Tb3YIn
Method: DFT, PBE
State: relaxed

Unit cell a=12.8907 b=12.8907 c=4.8207 alpha=90.00 beta=90.00 gamma=158.41
Positions (direct):
Tb (0.0496, 0.9504, 0.7500)
Tb (0.2499, 0.7501, 0.7500)
Tb (0.4479, 0.5521, 0.7500)
Tb (0.5521, 0.4479, 0.2500)
Tb (0.7501, 0.2499, 0.2500)
Tb (0.9504, 0.0496, 0.2500)
Y (0.1497, 0.8503, 0.2500)
Y (0.8503, 0.1497, 0.7500)
In (0.3473, 0.6527, 0.2500)
In (0.6527, 0.3473, 0.7500)

SG: Cmcm (63)

=====

Material: Tb3Y2In3
Method: DFT, PBE
State: relaxed

Unit cell a=3.7910 b=5.3534 c=22.3334 alpha=90.00 beta=90.00 gamma=90.00
Positions (direct):
Tb (0.0000, 0.0000, 0.0000)
Tb (0.0000, 0.5000, 0.1235)
Tb (0.0000, 0.5000, 0.8765)
Tb (0.5000, 0.0000, 0.3765)
Tb (0.5000, 0.0000, 0.6235)
Tb (0.5000, 0.5000, 0.5000)
Y (0.0000, 0.0000, 0.2343)
Y (0.0000, 0.0000, 0.7657)
Y (0.5000, 0.5000, 0.2657)
Y (0.5000, 0.5000, 0.7343)
In (0.0000, 0.0000, 0.5000)
In (0.0000, 0.5000, 0.3806)
In (0.0000, 0.5000, 0.6194)
In (0.5000, 0.0000, 0.1194)
In (0.5000, 0.0000, 0.8806)
In (0.5000, 0.5000, 0.0000)

SG: Immm (71)

=====

Material: TbY2In
Method: DFT, PBE
State: relaxed

Unit cell a=6.6389 b=5.2679 c=7.0176 alpha=90.00 beta=105.38 gamma=90.00
Positions (direct):
Tb (0.1298, 0.2500, 0.2686)
Tb (0.8702, 0.7500, 0.7314)
Y (0.3220, 0.7500, 0.5843)
Y (0.3671, 0.7500, 0.0926)
Y (0.6329, 0.2500, 0.9074)
Y (0.6780, 0.2500, 0.4157)
In (0.1313, 0.2500, 0.7854)
In (0.8687, 0.7500, 0.2146)

SG: P2_1/m (11)

=====

Material: TbY2In
Method: DFT, PBE
State: relaxed

Unit cell a=3.6142 b=3.6142 c=32.4949 alpha=90.00 beta=90.00 gamma=120.00
Positions (direct):
Tb (0.0000, 0.0000, 0.0000)
Tb (0.3333, 0.6667, 0.6667)
Tb (0.6667, 0.3333, 0.3333)
Y (0.0000, 0.0000, 0.5778)
Y (0.0000, 0.0000, 0.7555)
Y (0.3333, 0.6667, 0.2444)
Y (0.3333, 0.6667, 0.4222)
Y (0.6667, 0.3333, 0.0888)
Y (0.6667, 0.3333, 0.9111)
In (0.0000, 0.0000, 0.1664)
In (0.3333, 0.6667, 0.8330)
In (0.6667, 0.3333, 0.4997)

SG: R3m (160)

=====

One value per record, in order, for formation energy: -167 -55 -272 -172 -192 -370 -269 -158 meV/atom.
One value per record, in order, for DFT total energy: -55.62 -98.74 -19.55 -72.93 -48.11 -75.99 -42.75 -62.79 eV per cell.